Computed, not measured: a relaxed KTa2 crystal at the PBE level of DFT.

Cell lengths 6.503, 6.503, 9.326 Å; angles 90.00, 90.00, 120.00 degrees
Atoms (fractional coordinates):
1 K 0.333 0.667 0.060
2 K 0.667 0.333 0.560
3 K 0.667 0.333 0.940
4 K 0.333 0.667 0.440
5 Ta 0.000 0.000 0.000
6 Ta 0.000 0.000 0.500
7 Ta 0.865 0.730 0.250
8 Ta 0.135 0.270 0.750
9 Ta 0.270 0.135 0.250
10 Ta 0.865 0.135 0.250
11 Ta 0.135 0.865 0.750
12 Ta 0.730 0.865 0.750

## Properties
- Fermi-level density of states: 10.31 states/eV per cell
- Calculated formation energy: 3.7 eV/f.u.
- Energy above the lowest structure with this stoichiometry: 668 meV/atom
- E_tot: -7.051 eV per atom